{"formula": "CrCo2MoH", "functional": "PBE", "state": "relaxed", "space_group": "P4/mmm", "total_magnetization_mub_per_atom": 0.140, "de_polymorph_mev_per_atom": 0, "cell": [[-1.2504, 3.3444, 0.5135], [-0.1935, -0.6172, 3.5488], [3.5719, 1.2716, 0.4159]], "species": ["Cr", "Mo", "Co", "Co", "H"], "frac_coords": [[0.0000, 0.0000, 0.5000], [0.5000, 0.5000, 0.5000], [0.0000, 0.5000, 0.0000], [0.5000, 0.0000, 0.0000], [0.0000, 0.0000, 0.0000]]}